{"formula": "TlIn2CuPb", "functional": "GGA-PBE", "state": "optimized geometry", "sg": "P4/mmm, No. 123", "delta_e_f_ev_per_atom": 0.17, "de_polymorph_mev_per_atom": 25, "dos_ef_per_ev_atom": 0.4455, "lattice": [[5.164, 0.000, 0.000], [0.000, 5.164, 0.000], [0.000, 0.000, 5.274]], "species": ["Pb", "Tl", "Cu", "In", "In"], "frac_coords": [[0.500, 0.500, 0.500], [0.000, 0.000, 0.500], [0.000, 0.000, 0.000], [0.000, 0.500, 0.000], [0.500, 0.000, 0.000]]}


{"formula": "MgBSb3", "functional": "GGA-PBE", "state": "optimized geometry", "sg": "Pm-3m, No. 221", "e_form_raw_mev_per_atom": 1446, "de_polymorph_mev_per_atom": 818, "dos_ef_per_ev_atom": 0.7727, "lattice": [[5.339, 0.000, 0.000], [0.000, 5.339, 0.000], [0.000, 0.000, 5.339]], "species": ["Sb", "Sb", "Sb", "Mg", "B"], "frac_coords": [[0.000, 0.500, 0.000], [0.000, 0.000, 0.500], [0.500, 0.000, 0.000], [0.000, 0.000, 0.000], [0.500, 0.500, 0.500]]}